This record from the Alexandria database describes Sm3Dy5Cd2 after structural relaxation. The functional is PBE.

Values from the calculation:
Theoretical density = 7.7 g/cm³
E_form = 147 meV/atom
Total magnetization = 0.0 μB per cell

Unit cell a=13.2717 b=14.6024 c=6.6424 alpha=90.00 beta=90.00 gamma=90.00
Closest atoms and distances in Å follow each position.
Space group Ibam (No. 72)
Unique sites:
Sm 0.0000 0.0000 0.2500 x4  4 Cd 3.15, 2 Sm 3.32, 2 Dy 3.46
Sm 0.1411 0.2242 0.0000 x8  4 Dy 3.52-3.70, 4 Cd 3.56-3.89
Dy 0.0000 0.5000 0.2500 x4  8 Dy 3.18-3.32
Dy 0.0980 0.3284 0.5000 x8  1 Cd 2.85
Dy 0.2394 0.5000 0.2500 x8  2 Cd 3.08, 3 Dy 3.18-3.32
Cd 0.1353 0.1363 0.5000 x8  3 Dy 2.85-3.08, 2 Sm 3.15